No. 1
Compound: AcTb6Sm8
Source: the Alexandria database
Functional: PBE
Structure: optimized geometry

As for the energy above the lowest structure with this stoichiometry: 39 meV per atom. The energy relative to the elements comes out at 0.20 eV per atom. The value obtained for the uncorrected energy is -4.44 eV/atom. The value obtained for the theoretical density is 7.5 Mg/m³.

The structure belongs to space group P-3 (No. 147); the cell edges are 9.6145, 9.6145 and 6.5646 Å and the angles 90.00°, 90.00° and 120.00°. The inequivalent atoms are Ac at (0.0000, 0.0000, 0.0000), Tb at (0.0964, 0.6785, 0.0959), Sm at (0.0219, 0.3343, 0.4012) and Sm at (0.3333, 0.6667, 0.6634).

No. 2
Compound: PmTmAlPd
Source: the Alexandria database
Functional: PBE
Structure: optimized geometry

As for the energy above the lowest structure with this stoichiometry: 48 meV per atom. The energy relative to the elements comes out at -0.54 eV per atom. The value obtained for the uncorrected energy is -5.08 eV/atom. The value obtained for the theoretical density is 8.0 Mg/m³.

The structure belongs to space group F-43m (No. 216); the cell edges are 7.202, 7.202 and 7.202 Å and the angles 90.00°, 90.00° and 90.00°. The inequivalent atoms are Pm at (0.000, 0.000, 0.000), Tm at (0.000, 0.000, 0.500), Al at (0.250, 0.250, 0.250) and Pd at (0.250, 0.250, 0.750).

Copy entry 2 word for word.
Compound: PmTmAlPd
Source: the Alexandria database
Functional: PBE
Structure: optimized geometry

As for the energy above the lowest structure with this stoichiometry: 48 meV per atom. The energy relative to the elements comes out at -0.54 eV per atom. The value obtained for the uncorrected energy is -5.08 eV/atom. The value obtained for the theoretical density is 8.0 Mg/m³.

The structure belongs to space group F-43m (No. 216); the cell edges are 7.202, 7.202 and 7.202 Å and the angles 90.00°, 90.00° and 90.00°. The inequivalent atoms are Pm at (0.000, 0.000, 0.000), Tm at (0.000, 0.000, 0.500), Al at (0.250, 0.250, 0.250) and Pd at (0.250, 0.250, 0.750).

> energy above the lowest structure with this stoichiometry of number 1 (AcTb6Sm8)?

39 meV per atom

> Number 2 is which compound?

PmTmAlPd